GaPPb2W | PBE | optimized geometry

Lattice parameters (Å, degrees): 5.4976 5.4976 4.6284 90.00 90.00 90.00
Atoms (fractional coordinates):
Ga  0.0000  0.0000  0.0000
P  0.5000  0.5000  0.0000
Pb  0.0000  0.5000  0.5000
Pb  0.5000  0.0000  0.5000
W  0.5000  0.5000  0.5000

## Properties
The calculation puts the formation energy at 529 meV/atom. The volume comes out at 27.98 A^3/atom.

TmTh2UN4 | PBE | optimized geometry

Lattice parameters (Å, degrees): 6.0608 3.5226 6.1722 90.00 108.91 90.00
Atoms (fractional coordinates):
Tm  0.0000  0.0000  0.0000
Th  0.0000  0.5000  0.5000
Th  0.5000  0.0000  0.5000
U  0.5000  0.5000  0.0000
N  0.2523  0.5000  0.2207
N  0.2650  0.0000  0.7822
N  0.7350  0.0000  0.2178
N  0.7477  0.5000  0.7793

## Properties
The raw total energy comes out at -0.7008 Ry/atom. The volume comes out at 15.58 A^3/atom.

CrHgP2S | PBE | optimized geometry

Lattice parameters (Å, degrees): 4.5738 4.5738 4.4545 90.00 90.00 90.00
Atoms (fractional coordinates):
Cr  0.0000  0.0000  0.0000
Hg  0.5000  0.5000  0.5000
P  0.0000  0.5000  0.0000
P  0.5000  0.0000  0.0000
S  0.0000  0.0000  0.5000

## Properties
For the relative energy among the computed polymorphs, the calculation gives 0.0000 eV/atom. The volume comes out at 18.64 A^3/atom.

VCr2Rh2 | PBE | optimized geometry

Lattice parameters (Å, degrees): 7.1345 7.1345 2.6668 90.00 90.00 90.00
Atoms (fractional coordinates):
V  0.0000  0.0000  0.0000
V  0.5000  0.5000  0.0000
Cr  0.1163  0.3837  0.0000
Cr  0.3837  0.8837  0.0000
Cr  0.6163  0.1163  0.0000
Cr  0.8837  0.6163  0.0000
Rh  0.1778  0.6778  0.5000
Rh  0.3222  0.1778  0.5000
Rh  0.6778  0.8222  0.5000
Rh  0.8222  0.3222  0.5000

## Properties
The calculation puts the formation energy at 73 meV/atom. For the relative energy among the computed polymorphs, the calculation gives 0.0000 eV/atom. The volume comes out at 13.57 A^3/atom.

AsPW2 | PBE | optimized geometry

Lattice parameters (Å, degrees): 4.7335 4.7335 4.7335 129.44 129.44 74.31
Atoms (fractional coordinates):
As  0.0000  0.0000  0.0000
P  0.2500  0.7500  0.5000
W  0.5000  0.5000  0.0000
W  0.7500  0.2500  0.5000

## Properties
The calculation puts the formation energy at 452 meV/atom. For the relative energy among the computed polymorphs, the calculation gives 0.5560 eV/atom. The volume comes out at 15.42 A^3/atom.

Cs4UAg3Br12 | PBE | optimized geometry

Lattice parameters (Å, degrees): 9.8111 9.8111 9.8111 109.47 109.47 109.47
Atoms (fractional coordinates):
Cs  0.0000  0.0000  0.5000
Cs  0.0000  0.5000  0.0000
Cs  0.5000  0.0000  0.0000
Cs  0.5000  0.5000  0.5000
U  0.0000  0.0000  0.0000
Ag  0.0000  0.5000  0.5000
Ag  0.5000  0.0000  0.5000
Ag  0.5000  0.5000  0.0000
Br  0.0000  0.2401  0.2401
Br  0.0000  0.7599  0.7599
Br  0.2401  0.0000  0.2401
Br  0.2401  0.2401  0.0000
Br  0.2500  0.5000  0.7500
Br  0.2500  0.7500  0.5000
Br  0.5000  0.2500  0.7500
Br  0.5000  0.7500  0.2500
Br  0.7500  0.2500  0.5000
Br  0.7500  0.5000  0.2500
Br  0.7599  0.0000  0.7599
Br  0.7599  0.7599  0.0000

## Properties
The raw total energy comes out at -0.2464 Ry/atom. The volume comes out at 36.35 A^3/atom.

Ir2Ru2Au | PBE | optimized geometry

Lattice parameters (Å, degrees): 7.5646 7.5646 2.7496 90.00 90.00 90.00
Atoms (fractional coordinates):
Ir  0.1226  0.3774  0.0000
Ir  0.3774  0.8774  0.0000
Ir  0.6226  0.1226  0.0000
Ir  0.8774  0.6226  0.0000
Ru  0.1715  0.6715  0.5000
Ru  0.3285  0.1715  0.5000
Ru  0.6715  0.8285  0.5000
Ru  0.8285  0.3285  0.5000
Au  0.0000  0.0000  0.0000
Au  0.5000  0.5000  0.0000

## Properties
The calculation puts the formation energy at 308 meV/atom. For the relative energy among the computed polymorphs, the calculation gives 0.0000 eV/atom. The volume comes out at 15.73 A^3/atom.

CaSnTe2 | PBE | optimized geometry

Lattice parameters (Å, degrees): 8.8984 8.8984 8.8984 133.51 133.51 67.85
Atoms (fractional coordinates):
Ca  0.0000  0.0000  0.0000
Ca  0.7500  0.2500  0.5000
Sn  0.2500  0.7500  0.5000
Sn  0.5000  0.5000  0.0000
Te  0.1216  0.6250  0.9966
Te  0.3750  0.3716  0.4966
Te  0.6284  0.1250  0.0034
Te  0.8750  0.8784  0.5034

## Properties
The raw total energy comes out at -0.2783 Ry/atom. The volume comes out at 45.53 A^3/atom.

Sr2NdSn3Rh4 | PBE | optimized geometry

Lattice parameters (Å, degrees): 4.5511 4.5511 11.4728 90.00 90.00 90.00
Atoms (fractional coordinates):
Sr  0.0000  0.5000  0.2296
Sr  0.5000  0.0000  0.7704
Nd  0.0000  0.0000  0.5000
Sn  0.0000  0.5000  0.8794
Sn  0.5000  0.0000  0.1206
Sn  0.5000  0.5000  0.5000
Rh  0.0000  0.0000  0.0000
Rh  0.0000  0.5000  0.6458
Rh  0.5000  0.0000  0.3542
Rh  0.5000  0.5000  0.0000

## Properties
The calculation puts the formation energy at -655 meV/atom. The volume comes out at 23.76 A^3/atom.

Li2BBr | PBE | optimized geometry

Lattice parameters (Å, degrees): 4.4999 4.4999 4.4999 60.00 60.00 60.00
Atoms (fractional coordinates):
Li  0.2500  0.2500  0.2500
Li  0.7500  0.7500  0.7500
B  0.0000  0.0000  0.0000
Br  0.5000  0.5000  0.5000

## Properties
For the relative energy among the computed polymorphs, the calculation gives 0.1258 eV/atom. The volume comes out at 16.11 A^3/atom.

Tm4ZnCd | PBE | optimized geometry

Lattice parameters (Å, degrees): 4.9405 4.9405 7.1403 90.00 90.00 90.00
Atoms (fractional coordinates):
Tm  0.0000  0.5000  0.2392
Tm  0.0000  0.5000  0.7608
Tm  0.5000  0.0000  0.2392
Tm  0.5000  0.0000  0.7608
Zn  0.0000  0.0000  0.0000
Cd  0.5000  0.5000  0.5000

## Properties
The calculation puts the formation energy at 58 meV/atom. For the relative energy among the computed polymorphs, the calculation gives 0.2541 eV/atom. The volume comes out at 29.05 A^3/atom.

PmDyHgRh | PBE | optimized geometry

Lattice parameters (Å, degrees): 5.1174 5.1174 5.1174 60.00 60.00 60.00
Atoms (fractional coordinates):
Pm  0.0000  0.0000  0.0000
Dy  0.5000  0.5000  0.5000
Hg  0.2500  0.2500  0.2500
Rh  0.7500  0.7500  0.7500

## Properties
The calculation puts the formation energy at -571 meV/atom. The volume comes out at 23.69 A^3/atom.